No. 1
LiCr3Pb after structural relaxation, computed with PBE.

Unit cell a=5.311 b=5.311 c=5.311 alpha=90.00 beta=90.00 gamma=90.00
Sites, in units of the cell vectors:
Pb  0.000  0.000  0.000
Cr  0.000  0.500  0.000
Cr  0.000  0.000  0.500
Cr  0.500  0.000  0.000
Li  0.500  0.500  0.500

Computed properties:
The formation energy comes out at 31.52 kcal/mol of atoms. The energy above the most stable polymorph in this dataset comes out at 118 meV/atom. Its total energy is -5.53 eV per atom. The total magnetization comes out at 13.17 Bohr magnetons per cell. As for the space group: Pm-3m.



No. 2
LiCr3Pb after structural relaxation, computed with PBE.

Unit cell a=4.380 b=4.380 c=4.380 alpha=90.00 beta=90.00 gamma=90.00
Sites, in units of the cell vectors:
Pb  0.500  0.500  0.500
Cr  0.000  0.500  0.000
Cr  0.000  0.000  0.500
Cr  0.500  0.000  0.000
Li  0.000  0.000  0.000

Computed properties:
The formation energy comes out at 28.79 kcal/mol of atoms. The energy above the most stable polymorph in this dataset comes out at 0 meV/atom. Its total energy is -5.65 eV per atom. The total magnetization comes out at 8.92 Bohr magnetons per cell. As for the space group: Pm-3m.



No. 3
Li2CrPb after structural relaxation, computed with PBE.

Unit cell a=4.210 b=4.031 c=4.420 alpha=90.00 beta=90.00 gamma=90.00
Sites, in units of the cell vectors:
Cr  0.000  0.500  0.500
Li  0.000  0.000  0.000
Li  0.500  0.500  0.000
Pb  0.500  0.000  0.500

Computed properties:
The formation energy comes out at 3.33 kcal/mol of atoms. Its total energy is -4.15 eV per atom. The total magnetization comes out at 3.77 Bohr magnetons per cell. As for the space group: Pmmm.



No. 4
Li2CrPb after structural relaxation, computed with PBE.

Unit cell a=4.780 b=3.147 c=5.371 alpha=79.74 beta=90.00 gamma=90.00
Sites, in units of the cell vectors:
Cr  0.500  0.750  0.750
Li  0.000  0.007  0.995
Li  0.000  0.493  0.505
Pb  0.500  0.250  0.250

Computed properties:
The formation energy comes out at 4.97 kcal/mol of atoms. Its total energy is -4.07 eV per atom. The total magnetization comes out at 4.04 Bohr magnetons per cell. As for the space group: P2/m.



No. 5
LiCrPb4 after structural relaxation, computed with PBE.

Unit cell a=6.405 b=6.405 c=6.405 alpha=60.00 beta=60.00 gamma=60.00
Sites, in units of the cell vectors:
Li  0.000  0.000  0.000
Cr  0.750  0.750  0.750
Pb  0.875  0.375  0.375
Pb  0.375  0.375  0.875
Pb  0.375  0.875  0.375
Pb  0.375  0.375  0.375

Computed properties:
The formation energy comes out at 9.48 kcal/mol of atoms. Its total energy is -3.98 eV per atom. The total magnetization comes out at 4.87 Bohr magnetons per cell. As for the space group: F-43m.



No. 6
Li2CrPb after structural relaxation, computed with PBE.

Unit cell a=9.726 b=9.726 c=9.726 alpha=19.10 beta=19.10 gamma=19.10
Sites, in units of the cell vectors:
Cr  0.750  0.750  0.750
Li  0.002  0.002  0.002
Li  0.498  0.498  0.498
Pb  0.250  0.250  0.250

Computed properties:
The formation energy comes out at 7.76 kcal/mol of atoms. Its total energy is -3.95 eV per atom. The total magnetization comes out at 4.52 Bohr magnetons per cell. As for the space group: R-3m.



No. 7
Li2CrPb after structural relaxation, computed with PBE.

Unit cell a=3.511 b=3.511 c=6.414 alpha=90.00 beta=90.00 gamma=90.01
Sites, in units of the cell vectors:
Cr  0.500  0.500  0.759
Li  0.000  0.000  0.998
Li  0.500  0.500  0.243
Pb  0.000  0.000  0.499

Computed properties:
The formation energy comes out at 4.74 kcal/mol of atoms. Its total energy is -4.08 eV per atom. The total magnetization comes out at 4.21 Bohr magnetons per cell. As for the space group: P4mm.



No. 8
Li2CrPb after structural relaxation, computed with PBE.

Unit cell a=4.535 b=3.149 c=5.756 alpha=75.28 beta=90.00 gamma=90.00
Sites, in units of the cell vectors:
Cr  0.500  0.777  0.741
Li  0.000  0.033  0.012
Li  0.500  0.255  0.241
Pb  0.000  0.435  0.505

Computed properties:
The formation energy comes out at 4.83 kcal/mol of atoms. Its total energy is -4.08 eV per atom. The total magnetization comes out at 4.25 Bohr magnetons per cell. As for the space group: Pm.



No. 9
LiCrPbS3 after structural relaxation, computed with PBE.

Unit cell a=3.751 b=7.556 c=8.559 alpha=108.08 beta=90.00 gamma=90.00
Sites, in units of the cell vectors:
Li  0.250  0.091  0.599
Li  0.750  0.909  0.401
Cr  0.250  0.672  0.152
Cr  0.750  0.328  0.848
Pb  0.250  0.216  0.262
Pb  0.750  0.784  0.738
S  0.750  0.879  0.123
S  0.250  0.121  0.877
S  0.250  0.755  0.457
S  0.750  0.245  0.543
S  0.750  0.460  0.139
S  0.250  0.540  0.861

Computed properties:
Its total energy is -5.32 eV per atom. The total magnetization comes out at 6.00 Bohr magnetons per cell. As for the space group: P2_1/m.



No. 10
LiCr2PbSe after structural relaxation, computed with PBE.

Unit cell a=4.806 b=5.883 c=4.806 alpha=90.00 beta=90.00 gamma=90.00
Sites, in units of the cell vectors:
Pb  0.000  0.500  0.000
Cr  0.000  0.000  0.500
Cr  0.500  0.000  0.000
Se  0.000  0.000  0.000
Li  0.500  0.500  0.500

Computed properties:
Its total energy is -5.15 eV per atom. The total magnetization comes out at 7.85 Bohr magnetons per cell. As for the space group: P4/mmm.



No. 11
LiTa2CrPb after structural relaxation, computed with PBE.

Unit cell a=4.518 b=4.316 c=4.518 alpha=90.00 beta=90.00 gamma=90.00
Sites, in units of the cell vectors:
Pb  0.500  0.500  0.500
Cr  0.000  0.500  0.000
Li  0.000  0.000  0.000
Ta  0.000  0.000  0.500
Ta  0.500  0.000  0.000

Computed properties:
The formation energy comes out at 25.77 kcal/mol of atoms. Its total energy is -6.67 eV per atom. The total magnetization comes out at 1.82 Bohr magnetons per cell. As for the space group: P4/mmm.



No. 12
Li2CrPd2 after structural relaxation, computed with PBE.

Unit cell a=6.938 b=6.938 c=2.709 alpha=90.00 beta=90.00 gamma=90.00
Sites, in units of the cell vectors:
Cr  0.000  0.000  0.000
Cr  0.500  0.500  0.000
Pd  0.191  0.691  0.500
Pd  0.691  0.809  0.500
Pd  0.809  0.309  0.500
Pd  0.309  0.191  0.500
Li  0.389  0.889  0.000
Li  0.889  0.611  0.000
Li  0.611  0.111  0.000
Li  0.111  0.389  0.000

Computed properties:
The formation energy comes out at 1.70 kcal/mol of atoms. The energy above the most stable polymorph in this dataset comes out at 0 meV/atom. Its total energy is -4.69 eV per atom. The total magnetization comes out at 0.54 Bohr magnetons per cell. As for the space group: P4/mbm.